1.
# AlInCo2Ag

A PBEsol-optimized structure of AlInCo2Ag (SCAN, the Alexandria database).

Structure (CIF):
```
data_AlInCo2Ag
_chemical_formula_sum 'Al1 In1 Co2 Ag1'
_cell_length_a 4.6496
_cell_length_b 4.6496
_cell_length_c 4.8924
_cell_angle_alpha 90.00
_cell_angle_beta 90.00
_cell_angle_gamma 90.00
_space_group_name_H-M_alt 'P 4/m m m'
_space_group_IT_number 123
_space_group_name_Hall '-P 4 2'
loop_
_atom_site_label
_atom_site_type_symbol
_atom_site_fract_x
_atom_site_fract_y
_atom_site_fract_z
Al1 Al 0.0000 0.0000 0.0000
In1 In 0.5000 0.5000 0.0000
Co1 Co 0.0000 0.5000 0.5000
Ag1 Ag 0.5000 0.5000 0.5000
```

Energy of formation, eV/atom: 1.11
Crystal system: tetragonal

=====

2.
# TcPb4

A PBEsol-optimized structure of TcPb4 (SCAN, the Alexandria database).

Structure (CIF):
```
data_TcPb4
_chemical_formula_sum 'Tc2 Pb8'
_cell_length_a 6.5020
_cell_length_b 6.5020
_cell_length_c 6.5020
_cell_angle_alpha 90.00
_cell_angle_beta 90.00
_cell_angle_gamma 90.00
_space_group_name_H-M_alt 'I m -3 m'
_space_group_IT_number 229
_space_group_name_Hall '-I 4 2 3'
loop_
_atom_site_label
_atom_site_type_symbol
_atom_site_fract_x
_atom_site_fract_y
_atom_site_fract_z
Tc1 Tc 0.0000 0.0000 0.0000
Pb1 Pb 0.2500 0.2500 0.2500
```

Energy of formation, eV/atom: 0.47
Crystal system: cubic

=====

3.
# Ca2V2PbO8

A PBEsol-optimized structure of Ca2V2PbO8 (SCAN, the Alexandria database).

Structure (CIF):
```
data_Ca2V2PbO8
_chemical_formula_sum 'Ca6 V6 Pb3 O24'
_cell_length_a 5.5776
_cell_length_b 5.5776
_cell_length_c 19.2275
_cell_angle_alpha 90.00
_cell_angle_beta 90.00
_cell_angle_gamma 120.00
_space_group_name_H-M_alt 'R 3 m'
_space_group_IT_number 160
_space_group_name_Hall 'R 3 -2"'
loop_
_atom_site_label
_atom_site_type_symbol
_atom_site_fract_x
_atom_site_fract_y
_atom_site_fract_z
Ca1 Ca 0.0000 0.0000 0.0000
Ca2 Ca 0.0000 0.0000 0.1958
V1 V 0.0000 0.0000 0.5996
V2 V 0.0000 0.0000 0.7938
Pb1 Pb 0.0000 0.0000 0.3919
O1 O 0.0000 0.0000 0.5129
O2 O 0.0000 0.0000 0.8817
O3 O 0.0056 0.5028 0.9601
O4 O 0.1683 0.3365 0.7634
```

Crystal system: trigonal
Raw formation energy, eV per formula unit: -35.323

=====

4.
# Mo3N2Cl11

A PBEsol-optimized structure of Mo3N2Cl11 (SCAN, the Alexandria database).

Structure (CIF):
```
data_Mo3N2Cl11
_chemical_formula_sum 'Mo12 N8 Cl44'
_cell_length_a 13.0982
_cell_length_b 10.0869
_cell_length_c 13.5643
_cell_angle_alpha 90.00
_cell_angle_beta 90.00
_cell_angle_gamma 90.00
_space_group_name_H-M_alt 'P c a 21'
_space_group_IT_number 29
_space_group_name_Hall 'P 2c -2ac'
loop_
_atom_site_label
_atom_site_type_symbol
_atom_site_fract_x
_atom_site_fract_y
_atom_site_fract_z
Mo1 Mo 0.0246 0.1840 0.0000
Mo2 Mo 0.1876 0.3857 0.8326
Mo3 Mo 0.2234 0.7123 0.3917
N1 N 0.1082 0.7549 0.4365
N2 N 0.1096 0.2950 0.9042
Cl1 Cl 0.0128 0.3776 0.0842
Cl2 Cl 0.0253 0.0387 0.8718
Cl3 Cl 0.0687 0.9446 0.6041
Cl4 Cl 0.0936 0.5861 0.8366
Cl5 Cl 0.1303 0.3327 0.6821
Cl6 Cl 0.1718 0.5707 0.2603
Cl7 Cl 0.1743 0.1160 0.0702
Cl8 Cl 0.1742 0.2518 0.3337
Cl9 Cl 0.1791 0.7847 0.0177
Cl10 Cl 0.2288 0.4948 0.4775
Cl11 Cl 0.2493 0.8802 0.7870
```

Crystal system: orthorhombic
Raw formation energy, eV per formula unit: -13.447

=====

no.,total energy (eV per atom),magnetic moment (μB per formula unit)
1,-20.32,4.1
2,-67.17,0.0
3,-16.56,0.0
4,-14.03,1.0